1.
A plane-wave DFT calculation with PBE was carried out for a relaxed structure of SmEuSc2. Values from VASP.

Calculated values
Energy relative to the lowest polymorph listed for this composition: 0.000 eV/atom
V: 30.1 Å³/atom
Spin magnetization: 8.1 μB/cell
Formation enthalpy at 0 K: 0.127 eV/atom

Structure (Quantum ESPRESSO input):
```
&SYSTEM
  ibrav = 0, nat = 4, ntyp = 3
/
ATOMIC_SPECIES
Sm 150.36 Sm.upf
Sc 44.96 Sc.upf
Eu 151.96 Eu.upf
CELL_PARAMETERS angstrom
3.554 0.000 0.000
0.000 3.554 0.000
0.000 0.000 9.526
ATOMIC_POSITIONS angstrom
Sm 1.777 1.777 4.763
Sc 0.000 0.000 2.509
Eu 1.777 1.777 0.000
Sc 0.000 0.000 7.017
```

=====

2.
A plane-wave DFT calculation with PBE was carried out for a relaxed structure of SmEu2Sc. Values from VASP.

Calculated values
Energy relative to the lowest polymorph listed for this composition: 0.044 eV/atom
V: 33.7 Å³/atom
Spin magnetization: 14.3 μB/cell
Formation enthalpy at 0 K: 0.202 eV/atom

Structure (Quantum ESPRESSO input):
```
&SYSTEM
  ibrav = 0, nat = 4, ntyp = 3
/
ATOMIC_SPECIES
Sm 150.36 Sm.upf
Sc 44.96 Sc.upf
Eu 151.96 Eu.upf
CELL_PARAMETERS angstrom
-5.006 -2.598 1.151
-0.746 -5.542 -1.363
-0.292 -3.972 4.156
ATOMIC_POSITIONS angstrom
Sm 0.000 0.000 0.000
Sc -3.022 -6.056 1.972
Eu -4.533 -9.084 2.958
Eu -1.511 -3.028 0.986
```

=====

3.
A plane-wave DFT calculation with PBE was carried out for a relaxed structure of SmEuSc2. Values from VASP.

Calculated values
Energy relative to the lowest polymorph listed for this composition: 0.033 eV/atom
V: 29.7 Å³/atom
Spin magnetization: 6.9 μB/cell
Formation enthalpy at 0 K: 0.160 eV/atom

Structure (Quantum ESPRESSO input):
```
&SYSTEM
  ibrav = 0, nat = 4, ntyp = 3
/
ATOMIC_SPECIES
Sm 150.36 Sm.upf
Sc 44.96 Sc.upf
Eu 151.96 Eu.upf
CELL_PARAMETERS angstrom
3.870 0.000 0.000
0.000 5.540 0.000
0.000 0.000 5.540
ATOMIC_POSITIONS angstrom
Sm 1.935 0.000 0.000
Sc 0.000 2.770 0.000
Sc 0.000 0.000 2.770
Eu 1.935 2.770 2.770
```

=====

4.
A plane-wave DFT calculation with PBE was carried out for a relaxed structure of SmEu2Sc. Values from VASP.

Calculated values
Energy relative to the lowest polymorph listed for this composition: 0.000 eV/atom
V: 33.8 Å³/atom
Spin magnetization: 15.3 μB/cell
Formation enthalpy at 0 K: 0.159 eV/atom

Structure (Quantum ESPRESSO input):
```
&SYSTEM
  ibrav = 0, nat = 4, ntyp = 3
/
ATOMIC_SPECIES
Sc 44.96 Sc.upf
Sm 150.36 Sm.upf
Eu 151.96 Eu.upf
CELL_PARAMETERS angstrom
3.596 0.000 0.000
0.000 3.596 0.000
0.000 0.000 10.441
ATOMIC_POSITIONS angstrom
Sc 1.798 1.798 0.000
Sm 1.798 1.798 5.221
Eu 0.000 0.000 2.467
Eu 0.000 0.000 7.975
```

=====

5.
A plane-wave DFT calculation with PBE was carried out for a relaxed structure of SmEuSc. Values from VASP.

Calculated values
Energy relative to the lowest polymorph listed for this composition: 0.000 eV/atom
V: 32.3 Å³/atom
Spin magnetization: 7.1 μB/cell
Formation enthalpy at 0 K: 0.100 eV/atom

Structure (Quantum ESPRESSO input):
```
&SYSTEM
  ibrav = 0, nat = 3, ntyp = 3
/
ATOMIC_SPECIES
Sm 150.36 Sm.upf
Sc 44.96 Sc.upf
Eu 151.96 Eu.upf
CELL_PARAMETERS angstrom
-2.973 -0.228 -2.055
0.941 -3.354 -0.989
-2.736 -0.952 7.255
ATOMIC_POSITIONS angstrom
Sm -2.402 -1.756 3.670
Sc -2.320 -2.745 0.470
Eu -0.046 -0.034 0.071
```

=====

6.
A plane-wave DFT calculation with PBE was carried out for a relaxed structure of SmEuSc2. Values from VASP.

Calculated values
Energy relative to the lowest polymorph listed for this composition: 0.034 eV/atom
V: 29.7 Å³/atom
Spin magnetization: 6.8 μB/cell
Formation enthalpy at 0 K: 0.160 eV/atom

Structure (Quantum ESPRESSO input):
```
&SYSTEM
  ibrav = 0, nat = 4, ntyp = 3
/
ATOMIC_SPECIES
Sm 150.36 Sm.upf
Sc 44.96 Sc.upf
Eu 151.96 Eu.upf
CELL_PARAMETERS angstrom
-1.650 1.270 5.107
2.771 -1.940 4.355
3.013 3.424 3.100
ATOMIC_POSITIONS angstrom
Sm 2.068 1.377 6.281
Sc 3.101 2.066 9.421
Sc 1.034 0.689 3.140
Eu 0.000 0.000 0.000
```

=====

7.
A plane-wave DFT calculation with PBE was carried out for a relaxed structure of SmEuScSn. Values from VASP.

Calculated values
V: 27.4 Å³/atom
Spin magnetization: 8.0 μB/cell
Formation enthalpy at 0 K: -0.228 eV/atom

Structure (Quantum ESPRESSO input):
```
&SYSTEM
  ibrav = 0, nat = 4, ntyp = 4
/
ATOMIC_SPECIES
Sn 118.71 Sn.upf
Sc 44.96 Sc.upf
Eu 151.96 Eu.upf
Sm 150.36 Sm.upf
CELL_PARAMETERS angstrom
5.375 0.000 0.000
2.687 4.655 0.000
2.687 1.552 4.389
ATOMIC_POSITIONS angstrom
Sn 5.375 3.103 2.194
Sc 8.062 4.655 3.291
Eu 0.000 0.000 0.000
Sm 2.687 1.552 1.097
```

=====

8.
A plane-wave DFT calculation with PBE was carried out for a relaxed structure of TbSmEuSc. Values from VASP.

Calculated values
V: 31.9 Å³/atom
Spin magnetization: 7.7 μB/cell
Formation enthalpy at 0 K: 0.165 eV/atom

Structure (Quantum ESPRESSO input):
```
&SYSTEM
  ibrav = 0, nat = 4, ntyp = 4
/
ATOMIC_SPECIES
Sc 44.96 Sc.upf
Tb 158.93 Tb.upf
Eu 151.96 Eu.upf
Sm 150.36 Sm.upf
CELL_PARAMETERS angstrom
5.650 0.000 0.000
2.825 4.893 0.000
2.825 1.631 4.613
ATOMIC_POSITIONS angstrom
Sc 0.000 0.000 0.000
Tb 2.825 1.631 1.153
Eu 5.650 3.262 2.307
Sm 8.475 4.893 3.460
```

=====

9.
A plane-wave DFT calculation with PBE was carried out for a relaxed structure of SmEuScTl. Values from VASP.

Calculated values
V: 28.3 Å³/atom
Spin magnetization: 8.6 μB/cell
Formation enthalpy at 0 K: -0.017 eV/atom

Structure (Quantum ESPRESSO input):
```
&SYSTEM
  ibrav = 0, nat = 4, ntyp = 4
/
ATOMIC_SPECIES
Sm 150.36 Sm.upf
Eu 151.96 Eu.upf
Sc 44.96 Sc.upf
Tl 204.38 Tl.upf
CELL_PARAMETERS angstrom
-3.899 -3.464 -1.511
-0.518 -1.396 -5.222
1.303 -5.019 -1.611
ATOMIC_POSITIONS angstrom
Sm -1.557 -4.940 -4.172
Eu -0.778 -2.470 -2.086
Sc 0.000 0.000 0.000
Tl -2.335 -7.410 -6.258
```

=====

10.
A plane-wave DFT calculation with PBE was carried out for a relaxed structure of SmEuYSc. Values from VASP.

Calculated values
V: 32.0 Å³/atom
Spin magnetization: 7.7 μB/cell
Formation enthalpy at 0 K: 0.166 eV/atom

Structure (Quantum ESPRESSO input):
```
&SYSTEM
  ibrav = 0, nat = 4, ntyp = 4
/
ATOMIC_SPECIES
Eu 151.96 Eu.upf
Sc 44.96 Sc.upf
Sm 150.36 Sm.upf
Y 88.91 Y.upf
CELL_PARAMETERS angstrom
-2.291 -0.974 5.080
1.417 -4.647 2.898
3.173 0.433 4.664
ATOMIC_POSITIONS angstrom
Eu 0.000 0.000 0.000
Sc 1.150 -2.595 6.321
Sm 0.575 -1.297 3.160
Y 1.724 -3.892 9.481
```

=====

11.
A plane-wave DFT calculation with PBE was carried out for a relaxed structure of EuSc2Sn. Values from VASP.

Calculated values
Energy relative to the lowest polymorph listed for this composition: 0.116 eV/atom
V: 24.8 Å³/atom
Spin magnetization: 8.4 μB/cell
Formation enthalpy at 0 K: -0.215 eV/atom

Structure (Quantum ESPRESSO input):
```
&SYSTEM
  ibrav = 0, nat = 4, ntyp = 3
/
ATOMIC_SPECIES
Sc 44.96 Sc.upf
Sn 118.71 Sn.upf
Eu 151.96 Eu.upf
CELL_PARAMETERS angstrom
-4.929 0.166 1.629
-3.797 -1.854 -3.020
-2.451 -4.388 1.310
ATOMIC_POSITIONS angstrom
Sc -8.383 -4.556 -0.061
Sn -5.588 -3.038 -0.040
Sc -2.794 -1.520 -0.019
Eu 0.000 0.000 0.000
```

=====

12.
A plane-wave DFT calculation with PBE was carried out for a relaxed structure of EuScSn2. Values from VASP.

Calculated values
V: 27.5 Å³/atom
Spin magnetization: 7.2 μB/cell
Formation enthalpy at 0 K: -0.450 eV/atom

Structure (Quantum ESPRESSO input):
```
&SYSTEM
  ibrav = 0, nat = 4, ntyp = 3
/
ATOMIC_SPECIES
Sn 118.71 Sn.upf
Sc 44.96 Sc.upf
Eu 151.96 Eu.upf
CELL_PARAMETERS angstrom
3.617 0.000 0.000
1.808 3.132 0.000
1.808 1.044 9.714
ATOMIC_POSITIONS angstrom
Sn 1.808 1.044 2.239
Sc 0.000 0.000 0.000
Eu 3.617 2.088 4.857
Sn 5.425 3.132 7.475
```

=====

13.
A plane-wave DFT calculation with PBE was carried out for a relaxed structure of EuScSn2. Values from VASP.

Calculated values
V: 26.6 Å³/atom
Spin magnetization: 7.2 μB/cell
Formation enthalpy at 0 K: -0.579 eV/atom

Structure (Quantum ESPRESSO input):
```
&SYSTEM
  ibrav = 0, nat = 4, ntyp = 3
/
ATOMIC_SPECIES
Sn 118.71 Sn.upf
Eu 151.96 Eu.upf
Sc 44.96 Sc.upf
CELL_PARAMETERS angstrom
-2.791 -2.215 1.519
-0.242 -1.975 -3.323
4.902 -4.562 2.354
ATOMIC_POSITIONS angstrom
Sn 3.860 -3.593 1.853
Eu 0.935 -4.376 0.275
Sc -1.516 -2.095 -0.902
Sn 1.042 -0.970 0.500
```

=====

14.
A plane-wave DFT calculation with PBE was carried out for a relaxed structure of Eu2ScSn. Values from VASP.

Calculated values
V: 28.8 Å³/atom
Spin magnetization: 14.8 μB/cell
Formation enthalpy at 0 K: -0.339 eV/atom

Structure (Quantum ESPRESSO input):
```
&SYSTEM
  ibrav = 0, nat = 4, ntyp = 3
/
ATOMIC_SPECIES
Sn 118.71 Sn.upf
Eu 151.96 Eu.upf
Sc 44.96 Sc.upf
CELL_PARAMETERS angstrom
4.985 0.000 0.000
0.000 4.805 0.000
0.000 0.000 4.805
ATOMIC_POSITIONS angstrom
Sn 2.493 0.000 0.000
Eu 0.000 2.403 0.000
Eu 0.000 0.000 2.403
Sc 2.493 2.403 2.403
```

=====

15.
A plane-wave DFT calculation with PBE was carried out for a relaxed structure of EuSc2Sn. Values from VASP.

Calculated values
Energy relative to the lowest polymorph listed for this composition: 0.000 eV/atom
V: 25.5 Å³/atom
Spin magnetization: 8.4 μB/cell
Formation enthalpy at 0 K: -0.330 eV/atom

Structure (Quantum ESPRESSO input):
```
&SYSTEM
  ibrav = 0, nat = 4, ntyp = 3
/
ATOMIC_SPECIES
Sc 44.96 Sc.upf
Eu 151.96 Eu.upf
Sn 118.71 Sn.upf
CELL_PARAMETERS angstrom
4.578 0.000 0.000
0.000 4.724 0.000
0.000 0.000 4.724
ATOMIC_POSITIONS angstrom
Sc 0.000 0.000 2.362
Eu 2.289 2.362 2.362
Sc 0.000 2.362 0.000
Sn 2.289 0.000 0.000
```

=====

16.
A plane-wave DFT calculation with PBE was carried out for a relaxed structure of EuScSn2. Values from VASP.

Calculated values
V: 25.9 Å³/atom
Spin magnetization: 7.7 μB/cell
Formation enthalpy at 0 K: -0.532 eV/atom

Structure (Quantum ESPRESSO input):
```
&SYSTEM
  ibrav = 0, nat = 4, ntyp = 3
/
ATOMIC_SPECIES
Sc 44.96 Sc.upf
Sn 118.71 Sn.upf
Eu 151.96 Eu.upf
CELL_PARAMETERS angstrom
-1.567 -2.285 -3.540
4.130 0.768 -2.324
1.786 -4.062 1.831
ATOMIC_POSITIONS angstrom
Sc 2.174 -2.790 -2.017
Sn 2.065 0.384 -1.162
Eu -0.784 -1.142 -1.770
Sn 0.893 -2.031 0.915
```

=====

17.
A plane-wave DFT calculation with PBE was carried out for a relaxed structure of EuScTlSn. Values from VASP.

Calculated values
V: 26.7 Å³/atom
Spin magnetization: 7.3 μB/cell
Formation enthalpy at 0 K: -0.413 eV/atom

Structure (Quantum ESPRESSO input):
```
&SYSTEM
  ibrav = 0, nat = 4, ntyp = 4
/
ATOMIC_SPECIES
Sc 44.96 Sc.upf
Eu 151.96 Eu.upf
Tl 204.38 Tl.upf
Sn 118.71 Sn.upf
CELL_PARAMETERS angstrom
5.323 0.000 0.000
2.661 4.610 0.000
2.661 1.537 4.346
ATOMIC_POSITIONS angstrom
Sc 5.323 3.073 2.173
Eu 0.000 0.000 0.000
Tl 7.984 4.610 3.260
Sn 2.661 1.537 1.087
```

=====

18.
A plane-wave DFT calculation with PBE was carried out for a relaxed structure of EuScZnSn. Values from VASP.

Calculated values
V: 24.3 Å³/atom
Spin magnetization: 7.4 μB/cell
Formation enthalpy at 0 K: -0.425 eV/atom

Structure (Quantum ESPRESSO input):
```
&SYSTEM
  ibrav = 0, nat = 4, ntyp = 4
/
ATOMIC_SPECIES
Eu 151.96 Eu.upf
Zn 65.41 Zn.upf
Sc 44.96 Sc.upf
Sn 118.71 Sn.upf
CELL_PARAMETERS angstrom
5.162 0.000 0.000
2.581 4.471 0.000
2.581 1.490 4.215
ATOMIC_POSITIONS angstrom
Eu 0.000 0.000 0.000
Zn 7.743 4.471 3.161
Sc 5.162 2.980 2.107
Sn 2.581 1.490 1.054
```

=====

19.
A plane-wave DFT calculation with PBE was carried out for a relaxed structure of TbEu2Sc. Values from VASP.

Calculated values
Energy relative to the lowest polymorph listed for this composition: 0.124 eV/atom
V: 33.0 Å³/atom
Spin magnetization: 14.7 μB/cell
Formation enthalpy at 0 K: 0.292 eV/atom

Structure (Quantum ESPRESSO input):
```
&SYSTEM
  ibrav = 0, nat = 4, ntyp = 3
/
ATOMIC_SPECIES
Eu 151.96 Eu.upf
Tb 158.93 Tb.upf
Sc 44.96 Sc.upf
CELL_PARAMETERS angstrom
3.493 0.000 0.000
1.746 3.025 0.000
1.746 1.008 12.499
ATOMIC_POSITIONS angstrom
Eu 5.239 3.025 3.149
Eu 1.746 1.008 9.350
Tb 3.493 2.017 6.250
Sc 0.000 0.000 0.000
```

=====

20.
A plane-wave DFT calculation with PBE was carried out for a relaxed structure of TbEuSc. Values from VASP.

Calculated values
Energy relative to the lowest polymorph listed for this composition: 0.000 eV/atom
V: 31.6 Å³/atom
Spin magnetization: 7.1 μB/cell
Formation enthalpy at 0 K: 0.104 eV/atom

Structure (Quantum ESPRESSO input):
```
&SYSTEM
  ibrav = 0, nat = 3, ntyp = 3
/
ATOMIC_SPECIES
Sc 44.96 Sc.upf
Tb 158.93 Tb.upf
Eu 151.96 Eu.upf
CELL_PARAMETERS angstrom
3.589 0.000 0.000
0.000 3.589 0.000
-1.795 -1.795 7.355
ATOMIC_POSITIONS angstrom
Sc 1.795 1.795 2.567
Tb 0.000 0.000 4.709
Eu 0.000 0.000 0.079
```